# KCaAu2 (PBE, relaxed)
# DFT total energy, eV per cell: -11.071
# D(E_F), states/eV/cell: 2.672
# V, Å³ per cell: 126.7
# DFT formation energy, eV/atom: -0.354
data_KCaAu2
_cell_length_a 4.473
_cell_length_b 4.473
_cell_length_c 6.335
_cell_angle_alpha 90.00
_cell_angle_beta 90.00
_cell_angle_gamma 90.00
_space_group_name_H-M_alt 'P 4/m m m'
_space_group_IT_number 123
_space_group_name_Hall '-P 4 2'
loop_
_atom_site_label
_atom_site_fract_x
_atom_site_fract_y
_atom_site_fract_z
_atom_site_occupancy
K1 0.000 0.000 0.000 1
Ca1 0.500 0.500 0.500 1
Au1 0.000 0.000 0.500 1
Au2 0.500 0.500 0.000 1

***

# RbPa2Te4 (PBE, relaxed)
# Uncorrected formation energy, eV/atom: -0.85
# DFT total energy, eV per cell: -153.970
# D(E_F), states/eV/cell: 49.212
# V, Å³ per cell: 1031.4
# Distance to the lowest polymorph of the same formula, eV/atom: 0.032
data_RbPa2Te4
_cell_length_a 4.464
_cell_length_b 14.852
_cell_length_c 15.559
_cell_angle_alpha 90.00
_cell_angle_beta 90.00
_cell_angle_gamma 90.00
_space_group_name_H-M_alt 'C m c m'
_space_group_IT_number 63
_space_group_name_Hall '-C 2c 2'
loop_
_atom_site_label
_atom_site_fract_x
_atom_site_fract_y
_atom_site_fract_z
_atom_site_occupancy
Rb1 0.000 0.103 0.250 1
Pa1 0.000 0.367 0.061 1
Te1 0.000 0.000 0.000 1
Te2 0.000 0.267 0.612 1
Te3 0.000 0.414 0.250 1

***

# AlIn (PBE, relaxed)
# DFT total energy, eV per cell: -12.310
# D(E_F), states/eV/cell: 1.401
# V, Å³ per cell: 90.0
# DFT formation energy, eV/atom: 0.163
data_AlIn
_cell_length_a 3.654
_cell_length_b 3.654
_cell_length_c 6.743
_cell_angle_alpha 90.00
_cell_angle_beta 90.00
_cell_angle_gamma 90.00
_space_group_name_H-M_alt 'P 4/n m m'
_space_group_IT_number 129
loop_
_space_group_symop_operation_xyz
'x,y,z'
'-x,-y,-z'
'-y+1/2,x,z'
'y+1/2,-x,-z'
'-x+1/2,-y+1/2,z'
'x+1/2,y+1/2,-z'
'y,-x+1/2,z'
'-y,x+1/2,-z'
'x+1/2,-y,-z'
'-x+1/2,y,z'
'-y,-x,-z'
'y,x,z'
'-x,y+1/2,-z'
'x,-y+1/2,z'
'y+1/2,x+1/2,-z'
'-y+1/2,-x+1/2,z'
loop_
_atom_site_label
_atom_site_fract_x
_atom_site_fract_y
_atom_site_fract_z
_atom_site_occupancy
Al1 0.250 0.250 0.091 1
In1 0.250 0.250 0.649 1

***

# TlIn16Pb12 (PBE, relaxed)
# DFT total energy, eV per cell: -178.732
# D(E_F), states/eV/cell: 25.619
# V, Å³ per cell: 1749.7
# DFT formation energy, eV/atom: 0.045
data_TlIn16Pb12
_cell_length_a 12.093
_cell_length_b 16.946
_cell_length_c 10.308
_cell_angle_alpha 90.00
_cell_angle_beta 124.07
_cell_angle_gamma 90.00
_space_group_name_H-M_alt 'C 1 m 1'
_space_group_IT_number 8
loop_
_space_group_symop_operation_xyz
'x,y,z'
'x,-y,z'
'x+1/2,y+1/2,z'
'x+1/2,-y+1/2,z'
loop_
_atom_site_label
_atom_site_fract_x
_atom_site_fract_y
_atom_site_fract_z
_atom_site_occupancy
Tl1 0.000 0.000 0.000 1
In1 0.051 0.134 0.302 1
In2 0.077 0.206 0.962 1
In3 0.093 0.500 0.287 1
In4 0.097 0.500 0.624 1
In5 0.174 0.161 0.725 1
In6 0.258 0.353 0.879 1
In7 0.269 0.000 0.946 1
In8 0.271 0.321 0.285 1
In9 0.310 0.000 0.569 1
In10 0.372 0.203 0.593 1
Pb1 0.009 0.401 0.907 1
Pb2 0.029 0.000 0.521 1
Pb3 0.087 0.305 0.487 1
Pb4 0.297 0.097 0.270 1
Pb5 0.301 0.500 0.136 1
Pb6 0.370 0.400 0.650 1
Pb7 0.412 0.202 0.096 1

***

Question: Number 2 is which compound?
Answer: RbPa2Te4

***

Question: Which value of DFT total energy does entry 2 give?
Answer: -153.970 eV per cell

***

Question: Which formula does entry 1 have?
Answer: KCaAu2